(1)
DFT (PBE) results for a relaxed Pu3AlGe6Pd2 crystal.

a b c (Å): 5.7360 5.7360 8.5427
angles (deg): 90.00 90.00 120.00
Last column: nearest neighbours and their distance in Å.
Space group P-3m1 (No. 164)
Symmetry-distinct sites (fractional):
Pu: 0.0000 0.0000 0.0000 [1 per cell]  6 Ge 2.94
Pu: 0.3333 0.6667 0.5992 [2 per cell]  9 Ge 3.07-3.17, 3 Al 3.42
Al: 0.0000 0.0000 0.5000 [1 per cell]  6 Ge 2.64
Ge: 0.1801 0.3603 0.2731 [6 per cell]  1 Pd 2.62, 2 Ge 2.64, 1 Al 2.64
Pd: 0.3333 0.6667 0.0239 [2 per cell]  3 Ge 2.62

Results
Formation enthalpy at 0 K ... -0.244 eV/atom
DOS(E_F) ... 28.98 states/eV/cell

(2)
DFT (PBE) results for a relaxed PuAlGePd crystal.

a b c (Å): 4.2323 4.2323 15.5064
angles (deg): 90.00 90.00 120.00
Last column: nearest neighbours and their distance in Å.
Space group R3m (No. 160, hexagonal axes)
Symmetry-distinct sites (fractional):
Pu: 0.0000 0.0000 0.0000 [3 per cell]  3 Ge 3.00, 4 Al 3.10-3.26
Al: 0.0000 0.0000 0.2100 [3 per cell]  3 Pd 2.53
Ge: 0.0000 0.0000 0.7784 [3 per cell]  3 Pd 2.59, 3 Al 2.88
Pd: 0.0000 0.0000 0.5014 [3 per cell]  3 Al 2.53, 3 Ge 2.59

Results
Formation enthalpy at 0 K ... -0.503 eV/atom
DOS(E_F) ... 30.18 states/eV/cell

(3)
DFT (PBE) results for a relaxed Pu2AlGe4Pd3 crystal.

a b c (Å): 4.1491 4.1491 11.0489
angles (deg): 90.00 90.00 90.00
Last column: nearest neighbours and their distance in Å.
Space group P-4m2 (No. 115)
Symmetry-distinct sites (fractional):
Pu: 0.0000 0.5000 0.2486 [2 per cell]  8 Ge 3.17-3.44, 6 Pd 3.19-3.47, 2 Al 3.47
Al: 0.0000 0.0000 0.5000 [1 per cell]  4 Ge 2.61
Ge: 0.0000 0.0000 0.0000 [1 per cell]  4 Pd 2.55
Ge: 0.0000 0.5000 0.6427 [2 per cell]  3 Pd 2.46-2.61, 2 Al 2.61
Ge: 0.5000 0.5000 0.0000 [1 per cell]  4 Pd 2.55
Pd: 0.0000 0.5000 0.8655 [2 per cell]  5 Ge 2.46-2.55
Pd: 0.5000 0.5000 0.5000 [1 per cell]  4 Ge 2.61

Results
Formation enthalpy at 0 K ... -0.543 eV/atom
DOS(E_F) ... 28.31 states/eV/cell

(4)
DFT (PBE) results for a relaxed RbAlGePd2 crystal.

a b c (Å): 5.1033 5.1033 5.7544
angles (deg): 90.00 90.00 90.00
Last column: nearest neighbours and their distance in Å.
Space group P4/mmm (No. 123)
Symmetry-distinct sites (fractional):
Rb: 0.0000 0.0000 0.0000 [1 per cell]  4 Pd 2.55
Al: 0.0000 0.0000 0.5000 [1 per cell]  2 Rb 2.88
Ge: 0.5000 0.5000 0.5000 [1 per cell]  4 Al 3.61, 8 Pd 3.85
Pd: 0.0000 0.5000 0.0000 [2 per cell]  2 Rb 2.55

Results
Formation enthalpy at 0 K ... 1.596 eV/atom
DOS(E_F) ... 3.40 states/eV/cell

(5)
DFT (PBE) results for a relaxed Al2SiGePd crystal.

a b c (Å): 4.7539 4.7539 4.7197
angles (deg): 90.00 90.00 90.00
Last column: nearest neighbours and their distance in Å.
Space group P4/mmm (No. 123)
Symmetry-distinct sites (fractional):
Al: 0.0000 0.5000 0.0000 [2 per cell]  2 Ge 2.38
Si: 0.0000 0.0000 0.5000 [1 per cell]  2 Ge 2.36
Ge: 0.0000 0.0000 0.0000 [1 per cell]  2 Si 2.36, 4 Al 2.38
Pd: 0.5000 0.5000 0.5000 [1 per cell]  8 Al 3.35, 4 Si 3.36

Results
DOS(E_F) ... 2.20 states/eV/cell
E_form (uncorrected) ... 0.79 eV/atom

(6)
DFT (PBE) results for a relaxed Sm3AlGe2Pd9 crystal.

a b c (Å): 6.4568 6.4568 8.8987
angles (deg): 90.00 90.00 120.00
Last column: nearest neighbours and their distance in Å.
Space group P-3m1 (No. 164)
Symmetry-distinct sites (fractional):
Sm: 0.0000 0.0000 0.0000 [1 per cell]  12 Pd 2.98-3.23
Sm: 0.3333 0.6667 0.7117 [2 per cell]  9 Pd 3.17-3.24
Al: 0.0000 0.0000 0.5000 [1 per cell]  6 Pd 2.47
Ge: 0.3333 0.6667 0.1835 [2 per cell]  6 Pd 2.34-2.48
Pd: 0.0000 0.5000 0.0000 [3 per cell]  2 Ge 2.48
Pd: 0.1402 0.2803 0.2855 [6 per cell]  1 Ge 2.34, 1 Al 2.47

Results
Formation enthalpy at 0 K ... -0.572 eV/atom
DOS(E_F) ... 4.20 states/eV/cell